First-principles (PBE) data for PmTm2Hg8 after structural relaxation, as listed in Alexandria via LeMat-Bulk.

Cell lengths 4.919, 7.253, 8.366 Å; angles 107.63, 107.10, 90.00 degrees
Element x y z (fractional)
Pm 0.500 0.000 0.000
Tm 0.782 0.345 0.565
Tm 0.218 0.655 0.435
Hg 0.401 0.535 0.802
Hg 0.679 0.908 0.357
Hg 0.852 0.803 0.704
Hg 0.965 0.270 0.930
Hg 0.148 0.197 0.296
Hg 0.321 0.092 0.643
Hg 0.599 0.465 0.198
Hg 0.035 0.730 0.070

As for the crystal system: monoclinic. Its symmetry is C2/m, No. 12. Its energy above the lowest structure with this stoichiometry is 0 meV/atom. The calculation puts the energy of formation at -0.31 eV/atom.

First-principles (PBE) data for Ce6CoOs2I3 after structural relaxation, as listed in Alexandria via LeMat-Bulk.

Cell lengths 7.076, 7.076, 8.304 Å; angles 98.17, 98.17, 119.98 degrees
Last column: magnetic moment on the atom in μB.
Element x y z (fractional)
Ce 0.939 0.611 0.818  0.60
Ce 0.732 0.732 0.183  0.60
Ce 0.061 0.389 0.182  0.60
Ce 0.611 0.939 0.818  0.60
Ce 0.268 0.268 0.817  0.60
Ce 0.389 0.061 0.182  0.60
Co 0.000 0.000 0.000  -0.26
Os 0.333 0.667 0.000  -0.10
Os 0.667 0.333 0.000  -0.10
I 0.168 0.832 0.500  -0.01
I 0.832 0.168 0.500  -0.01
I 0.500 0.500 0.500  -0.01

As for the crystal system: monoclinic. Its symmetry is C2/m, No. 12. Its formation energy from raw total energies is -601 meV/atom.

First-principles (PBE) data for Hf4Zr8Sc3 after structural relaxation, as listed in Alexandria via LeMat-Bulk.

Cell lengths 6.010, 8.301, 8.301 Å; angles 87.64, 111.35, 111.35 degrees
Element x y z (fractional)
Hf 0.500 0.000 0.000
Hf 0.000 0.500 0.000
Hf 0.000 0.000 0.000
Hf 0.000 0.000 0.500
Zr 0.536 0.267 0.267
Zr 0.000 0.645 0.355
Zr 0.005 0.261 0.261
Zr 0.500 0.750 0.250
Zr 0.500 0.250 0.750
Zr 0.995 0.739 0.739
Zr 0.000 0.355 0.645
Zr 0.464 0.733 0.733
Sc 0.500 0.500 0.000
Sc 0.500 0.000 0.500
Sc 0.500 0.500 0.500

As for the crystal system: monoclinic. Its symmetry is C2/m, No. 12. The calculation puts the energy of formation at 0.44 eV/atom.

First-principles (PBE) data for RbNbAg3 after structural relaxation, as listed in Alexandria via LeMat-Bulk.

Cell lengths 5.486, 5.486, 5.486 Å; angles 90.00, 90.00, 90.00 degrees
Last column: magnetic moment on the atom in μB.
Element x y z (fractional)
Nb 0.500 0.500 0.500  2.62
Rb 0.000 0.000 0.000  -0.03
Ag 0.000 0.500 0.000  -0.04
Ag 0.000 0.000 0.500  -0.06
Ag 0.500 0.000 0.000  -0.02

As for the crystal system: cubic. Its symmetry is Pm-3m, No. 221. Its energy above the lowest structure with this stoichiometry is 966 meV/atom. The calculation puts the energy of formation at 1.89 eV/atom.

| no. | raw total energy (eV/atom) |
| --- | --- |
| 1 | -1.769 |
| 2 | -6.419 |
| 3 | -8.039 |
| 4 | -2.024 |